Record 1
# BaHg2Ir

A relaxed structure of BaHg2Ir (PBE, Alexandria via LeMat-Bulk).

Cell and atoms, written as POSCAR:
```
BaHg2Ir
1.0
-0.9083 -3.1873 -1.7702
3.0299 -1.6746 1.4605
-4.0750 -2.1589 5.9782
Ir Hg Ba
1 2 1
direct
0.0000 0.0000 0.4285
0.5000 0.5000 0.2991
0.0000 0.0000 0.0519
0.5000 0.5000 0.7206
```

Values from the calculation:
Final energy, eV per atom: -2.740
Energy of formation from the pure elements, eV/f.u.: 0.43
M_tot, Bohr magnetons per cell: 0.38
DOS at the Fermi energy, states/eV per cell: 3.5



Record 2
# LiMg3Tl3

A relaxed structure of LiMg3Tl3 (PBE, Alexandria via LeMat-Bulk).

Cell and atoms, written as POSCAR:
```
LiMg3Tl3
1.0
-2.6032 -5.4474 3.4884
1.5141 -4.3731 -5.2021
6.4939 -1.2306 2.9245
Mg Tl Li
6 6 2
direct
0.6948 0.3052 0.0000
0.7423 0.7424 0.4999
0.7271 0.2728 0.5000
0.3052 0.6948 0.0000
0.2577 0.2576 0.5001
0.2729 0.7272 0.5000
0.0001 0.4999 0.2406
0.5001 0.9999 0.7593
0.9999 0.5001 0.7594
0.0000 0.0000 0.7609
0.4999 0.0001 0.2407
0.0000 0.0000 0.2391
0.2445 0.2444 0.9997
0.7555 0.7556 0.0003
```

Values from the calculation:
Final energy, eV per atom: -1.988
Energy of formation from the pure elements, eV/f.u.: -0.12
Polymorph energy (0 for the lowest one), eV per atom: 0.000
M_tot, Bohr magnetons per cell: 0.00
DOS at the Fermi energy, states/eV per cell: 6.7